A plane-wave DFT calculation with GGA-PBE was carried out for crystalline KHoTeO at its relaxed geometry.

a b c (Å): 4.702 8.416 6.789
angles (deg): 90.00 90.00 90.00
Atoms (fractional coordinates):
Ho1 0.500 0.892 0.023
Ho2 0.500 0.108 0.523
K1 0.000 0.283 0.124
K2 0.000 0.717 0.624
O1 0.500 0.086 0.212
O2 0.500 0.914 0.712
Te1 0.000 0.698 0.133
Te2 0.000 0.302 0.633

VASP energy	-5.43	eV/atom
symmetry	Pmc2_1
volume	33.576	Å³/atom